1.
Compound: Co2SbRuO6
Source: the Alexandria database
Functional: PBE with a Hubbard U
Structure: relaxed

Lattice parameters (Å, degrees): 5.2352 5.2352 5.4843 61.49 61.49 60.00
Each line ends with the local moment (μB).
Atoms (fractional coordinates):
Co (0.5086, 0.5086, 0.4741)  0.10
Co (0.0244, 0.0244, 0.9269)  2.63
Sb (0.3067, 0.3067, 0.0800)  0.01
Ru (0.8207, 0.8207, 0.5380)  0.02
O (0.6206, 0.2374, 0.2585)  0.02
O (0.2375, 0.8835, 0.2585)  0.02
O (0.8834, 0.6206, 0.2585)  0.02
O (0.4217, 0.7114, 0.7403)  0.02
O (0.7114, 0.1266, 0.7403)  0.02
O (0.1266, 0.4217, 0.7402)  0.02

Values from the calculation:
Total energy: -6.30 eV per atom



2.
Compound: Co2SiRuO6
Source: the Alexandria database
Functional: PBE with a Hubbard U
Structure: relaxed

Lattice parameters (Å, degrees): 4.8732 4.8732 5.3828 63.09 63.09 60.00
Each line ends with the local moment (μB).
Atoms (fractional coordinates):
Co (0.5260, 0.5260, 0.4221)  2.69
Co (0.0090, 0.0090, 0.9730)  0.03
Si (0.3238, 0.3238, 0.0287)  0.01
Ru (0.8175, 0.8175, 0.5476)  0.80
O (0.5869, 0.2203, 0.2304)  0.06
O (0.2203, 0.9624, 0.2304)  0.06
O (0.9624, 0.5869, 0.2304)  0.06
O (0.4053, 0.7035, 0.7842)  0.07
O (0.7035, 0.1071, 0.7842)  0.07
O (0.1071, 0.4053, 0.7842)  0.07

Values from the calculation:
Total energy: -6.81 eV per atom



3.
Compound: SmCo2RuO8
Source: the Alexandria database
Functional: PBE with a Hubbard U
Structure: relaxed

Lattice parameters (Å, degrees): 5.7756 5.7756 5.7756 107.39 107.39 113.72
Each line ends with the local moment (μB).
Atoms (fractional coordinates):
Sm (0.0000, 0.0000, 0.0000)  -0.01
Co (0.7500, 0.2500, 0.5000)  -1.33
Co (0.5000, 0.5000, 0.0000)  2.78
Ru (0.2500, 0.7500, 0.5000)  -0.01
O (0.3707, 0.0318, 0.3389)  0.04
O (0.3116, 0.5164, 0.2049)  0.23
O (0.3116, 0.1067, 0.7951)  0.23
O (0.6929, 0.0318, 0.6611)  0.04
O (0.8933, 0.6884, 0.2049)  0.23
O (0.9682, 0.3071, 0.3389)  0.04
O (0.9682, 0.6293, 0.6611)  0.04
O (0.4836, 0.6884, 0.7951)  0.23

Values from the calculation:
Total energy: -6.40 eV per atom



4.
Compound: CoSnRuO6
Source: the Alexandria database
Functional: PBE with a Hubbard U
Structure: relaxed

Lattice parameters (Å, degrees): 5.2332 5.2332 8.7327 90.00 90.00 120.00
Each line ends with the local moment (μB).
Atoms (fractional coordinates):
Co (0.0000, 0.0000, 0.0000)  2.69
Co (0.0000, 0.0000, 0.5000)  2.69
Sn (0.3333, 0.6667, 0.2500)  -0.03
Sn (0.6667, 0.3333, 0.7500)  -0.03
Ru (0.6667, 0.3333, 0.2500)  -1.24
Ru (0.3333, 0.6667, 0.7500)  -1.24
O (0.6629, 0.6432, 0.1268)  -0.03
O (0.9804, 0.3371, 0.1268)  -0.03
O (0.3371, 0.9804, 0.6268)  -0.03
O (0.0196, 0.6629, 0.8732)  -0.03
O (0.3568, 0.3371, 0.3732)  -0.03
O (0.9804, 0.6432, 0.3732)  -0.03
O (0.6432, 0.9804, 0.8732)  -0.03
O (0.6629, 0.0196, 0.3732)  -0.03
O (0.0196, 0.3568, 0.6268)  -0.03
O (0.3568, 0.0196, 0.1268)  -0.03
O (0.6432, 0.6629, 0.6268)  -0.03
O (0.3371, 0.3568, 0.8732)  -0.03

Values from the calculation:
Total energy: -6.35 eV per atom



5.
Compound: Sr3CoRuO6
Source: the Alexandria database
Functional: PBE with a Hubbard U
Structure: relaxed

Lattice parameters (Å, degrees): 6.6902 6.8724 6.6940 91.89 93.10 91.92
Each line ends with the local moment (μB).
Atoms (fractional coordinates):
Sr (0.6149, 0.8912, 0.2497)  0.00
Sr (0.8850, 0.2499, 0.6150)  0.00
Sr (0.2502, 0.6088, 0.8849)  0.00
Sr (0.1150, 0.7501, 0.3850)  0.00
Sr (0.7498, 0.3912, 0.1150)  0.00
Sr (0.3851, 0.1088, 0.7502)  0.00
Co (0.2346, 0.2507, 0.2654)  2.69
Co (0.7654, 0.7494, 0.7346)  2.69
Ru (0.0000, 0.0000, 0.0000)  1.40
Ru (0.5000, 0.5000, 0.5000)  1.40
O (0.5265, 0.2138, 0.3993)  0.08
O (0.2080, 0.4090, 0.5354)  0.09
O (0.4185, 0.5568, 0.2203)  0.17
O (0.0348, 0.9087, 0.7080)  0.09
O (0.8990, 0.7138, 0.0264)  0.08
O (0.7204, 0.0575, 0.9192)  0.17
O (0.4735, 0.7861, 0.6007)  0.08
O (0.7920, 0.5910, 0.4646)  0.09
O (0.5815, 0.4432, 0.7797)  0.17
O (0.9652, 0.0913, 0.2920)  0.09
O (0.1010, 0.2862, 0.9736)  0.08
O (0.2797, 0.9425, 0.0808)  0.17

Values from the calculation:
Total energy: -6.49 eV per atom



6.
Compound: SrCo3Ru4O12
Source: the Alexandria database
Functional: PBE with a Hubbard U
Structure: relaxed

Lattice parameters (Å, degrees): 6.5547 6.5547 6.5547 109.47 109.47 109.47
Each line ends with the local moment (μB).
Atoms (fractional coordinates):
Sr (0.0000, 0.0000, 0.0000)  0.01
Co (0.0000, 0.5000, 0.5000)  2.45
Co (0.5000, 0.5000, 0.0000)  2.45
Co (0.5000, 0.0000, 0.5000)  2.45
Ru (0.5000, 0.0000, 0.0000)  -1.24
Ru (0.5000, 0.5000, 0.5000)  -1.24
Ru (0.0000, 0.5000, 0.0000)  -1.24
Ru (0.0000, 0.0000, 0.5000)  -1.24
O (0.3115, 0.8220, 0.1334)  -0.10
O (0.6885, 0.1780, 0.8666)  -0.10
O (0.6885, 0.8220, 0.5105)  -0.10
O (0.8666, 0.6885, 0.1780)  -0.10
O (0.8220, 0.1334, 0.3115)  -0.10
O (0.1780, 0.4895, 0.3115)  -0.10
O (0.4895, 0.3115, 0.1780)  -0.10
O (0.1780, 0.8666, 0.6885)  -0.10
O (0.3115, 0.1780, 0.4895)  -0.10
O (0.1334, 0.3115, 0.8220)  -0.10
O (0.8220, 0.5105, 0.6885)  -0.10
O (0.5105, 0.6885, 0.8220)  -0.10

Values from the calculation:
Total energy: -6.83 eV per atom



7.
Compound: SrCoRu2O8
Source: the Alexandria database
Functional: PBE with a Hubbard U
Structure: relaxed

Lattice parameters (Å, degrees): 5.2046 5.2046 7.0406 90.00 90.00 120.00
Each line ends with the local moment (μB).
Atoms (fractional coordinates):
Sr (0.0000, 0.0000, 0.0000)  0.01
Co (0.0000, 0.0000, 0.5000)  0.04
Ru (0.6667, 0.3333, 0.2853)  0.85
Ru (0.3333, 0.6667, 0.7147)  0.85
O (0.3333, 0.6667, 0.9703)  0.23
O (0.2970, 0.2769, 0.3303)  0.09
O (0.7231, 0.0200, 0.3303)  0.09
O (0.6667, 0.3333, 0.0297)  0.23
O (0.2769, 0.9800, 0.6697)  0.09
O (0.7030, 0.7231, 0.6697)  0.09
O (0.0200, 0.2970, 0.6697)  0.09
O (0.9800, 0.7030, 0.3303)  0.09

Values from the calculation:
Total energy: -6.50 eV per atom



8.
Compound: TaCo2RuO6
Source: the Alexandria database
Functional: PBE with a Hubbard U
Structure: relaxed

Lattice parameters (Å, degrees): 5.2032 5.2037 5.5944 62.27 62.28 60.00
Each line ends with the local moment (μB).
Atoms (fractional coordinates):
Ta (0.3199, 0.3198, 0.0404)  -0.01
Co (0.5250, 0.5249, 0.4251)  2.70
Co (0.0258, 0.0257, 0.9226)  2.67
Ru (0.8220, 0.8220, 0.5339)  0.89
O (0.5854, 0.2129, 0.2615)  0.09
O (0.2128, 0.9402, 0.2616)  0.09
O (0.9403, 0.5855, 0.2615)  0.09
O (0.4356, 0.7027, 0.7695)  0.11
O (0.7026, 0.0924, 0.7695)  0.11
O (0.0921, 0.4356, 0.7697)  0.11

Values from the calculation:
Total energy: -7.63 eV per atom



Repeat the second record exactly.
Compound: Co2SiRuO6
Source: the Alexandria database
Functional: PBE with a Hubbard U
Structure: relaxed

Lattice parameters (Å, degrees): 4.8732 4.8732 5.3828 63.09 63.09 60.00
Each line ends with the local moment (μB).
Atoms (fractional coordinates):
Co (0.5260, 0.5260, 0.4221)  2.69
Co (0.0090, 0.0090, 0.9730)  0.03
Si (0.3238, 0.3238, 0.0287)  0.01
Ru (0.8175, 0.8175, 0.5476)  0.80
O (0.5869, 0.2203, 0.2304)  0.06
O (0.2203, 0.9624, 0.2304)  0.06
O (0.9624, 0.5869, 0.2304)  0.06
O (0.4053, 0.7035, 0.7842)  0.07
O (0.7035, 0.1071, 0.7842)  0.07
O (0.1071, 0.4053, 0.7842)  0.07

Values from the calculation:
Total energy: -6.81 eV per atom



What did the seventh record say?
Compound: SrCoRu2O8
Source: the Alexandria database
Functional: PBE with a Hubbard U
Structure: relaxed

Lattice parameters (Å, degrees): 5.2046 5.2046 7.0406 90.00 90.00 120.00
Each line ends with the local moment (μB).
Atoms (fractional coordinates):
Sr (0.0000, 0.0000, 0.0000)  0.01
Co (0.0000, 0.0000, 0.5000)  0.04
Ru (0.6667, 0.3333, 0.2853)  0.85
Ru (0.3333, 0.6667, 0.7147)  0.85
O (0.3333, 0.6667, 0.9703)  0.23
O (0.2970, 0.2769, 0.3303)  0.09
O (0.7231, 0.0200, 0.3303)  0.09
O (0.6667, 0.3333, 0.0297)  0.23
O (0.2769, 0.9800, 0.6697)  0.09
O (0.7030, 0.7231, 0.6697)  0.09
O (0.0200, 0.2970, 0.6697)  0.09
O (0.9800, 0.7030, 0.3303)  0.09

Values from the calculation:
Total energy: -6.50 eV per atom



Look up the total energy of the eighth one. -7.63 eV per atom